[1]
First-principles (meta-GGA SCAN) data for a PBEsol-optimized structure of TlCoCu2, as listed in Alexandria.

Properties
* space-group type: P4/mmm, No. 123

Cell lengths 3.706, 3.706, 3.921 Å; angles 90.00, 90.00, 90.00 degrees
Sites, in units of the cell vectors:
Tl1 0.000 0.000 0.000
Co1 0.500 0.500 0.000
Cu1 0.000 0.500 0.500
Cu2 0.500 0.000 0.500

=====

[2]
First-principles (meta-GGA SCAN) data for a PBEsol-optimized structure of CdPH6NO5, as listed in Alexandria.

Properties
* space-group type: Pnma, No. 62

Cell lengths 18.119, 5.786, 4.887 Å; angles 90.00, 90.00, 90.00 degrees
Sites, in units of the cell vectors:
Cd1 0.233 0.250 0.138
Cd2 0.267 0.750 0.638
Cd3 0.733 0.250 0.362
Cd4 0.767 0.750 0.862
P1 0.146 0.750 0.220
P2 0.354 0.250 0.720
P3 0.646 0.750 0.280
P4 0.854 0.250 0.780
H1 0.022 0.750 0.932
H2 0.023 0.750 0.570
H3 0.043 0.102 0.251
H4 0.043 0.398 0.251
H5 0.152 0.114 0.675
H6 0.152 0.386 0.675
H7 0.348 0.614 0.175
H8 0.348 0.886 0.175
H9 0.457 0.602 0.751
H10 0.457 0.898 0.751
H11 0.477 0.250 0.070
H12 0.478 0.250 0.432
H13 0.522 0.750 0.568
H14 0.523 0.750 0.930
H15 0.543 0.102 0.249
H16 0.543 0.398 0.249
H17 0.652 0.114 0.825
H18 0.652 0.386 0.825
H19 0.848 0.614 0.325
H20 0.848 0.886 0.325
H21 0.957 0.602 0.749
H22 0.957 0.898 0.749
H23 0.977 0.250 0.430
H24 0.978 0.250 0.068
N1 0.010 0.250 0.251
N2 0.490 0.750 0.751
N3 0.510 0.250 0.249
N4 0.990 0.750 0.749
O1 0.061 0.750 0.251
O2 0.146 0.250 0.799
O3 0.168 0.750 0.919
O4 0.179 0.535 0.374
O5 0.179 0.965 0.374
O6 0.321 0.035 0.874
O7 0.321 0.465 0.874
O8 0.332 0.250 0.419
O9 0.354 0.750 0.299
O10 0.439 0.250 0.751
O11 0.561 0.750 0.249
O12 0.646 0.250 0.701
O13 0.668 0.750 0.581
O14 0.679 0.535 0.126
O15 0.679 0.965 0.126
O16 0.821 0.035 0.626
O17 0.821 0.465 0.626
O18 0.832 0.250 0.081
O19 0.854 0.750 0.201
O20 0.939 0.250 0.749

=====

[3]
First-principles (meta-GGA SCAN) data for a PBEsol-optimized structure of LiPtW2, as listed in Alexandria.

Properties
* space-group type: Cmmm, No. 65

Cell lengths 4.982, 4.982, 2.656 Å; angles 90.00, 90.00, 117.64 degrees
Sites, in units of the cell vectors:
Li1 0.000 0.000 0.000
Pt1 0.500 0.500 0.000
W1 0.000 0.500 0.500
W2 0.500 0.000 0.500

=====

Result set for magnetic moment: 0.0, 0.0, 0.0 μB/f.u., one per record in the order listed.
Result set for E_tot: -29.570, -8.620, -52.878 eV per atom, one per record in the order listed.